(1)
Compound: AgGe2Au2
Source: Alexandria via LeMat-Bulk
Functional: GGA-PBE
Structure: relaxed

Computed properties:
Magnetic moment (μB/cell): 0.000
Crystal system: tetragonal
Energy (eV per atom): -3.56
Fermi-level density of states (states/eV per atom): 0.339

a = 3.8113 Å, b = 3.8113 Å, c = 7.2794 Å
α = 74.82°, β = 74.82°, γ = 90.00°
Closest atoms and distances in Å follow each position.
Element x y z (fractional)
Au: 0.5995 0.5995 0.8009  1 Au 2.69, 4 Ge 2.79, 4 Ag 3.01
Au: 0.4005 0.4005 0.1991  1 Au 2.69, 4 Ge 2.79, 4 Ag 3.01
Ag: 0.0000 0.0000 0.0000  8 Au 3.01
Ge: 0.7500 0.2500 0.5000  4 Ge 2.70, 4 Au 2.79
Ge: 0.2500 0.7500 0.5000  4 Ge 2.70, 4 Au 2.79

(2)
Compound: CuP4Pb
Source: Alexandria via LeMat-Bulk
Functional: GGA-PBE
Structure: relaxed

Computed properties:
Magnetic moment (μB/cell): 0.000
Crystal system: cubic
Energy (eV per atom): -4.34
Fermi-level density of states (states/eV per atom): 0.300

a = 5.6547 Å, b = 5.6547 Å, c = 5.6547 Å
α = 60.00°, β = 60.00°, γ = 60.00°
Closest atoms and distances in Å follow each position.
Element x y z (fractional)
Cu: 0.0000 0.0000 0.0000  12 P 3.27, 4 Pb 3.46
P: 0.9517 0.3494 0.3494  3 P 2.25
P: 0.3494 0.3494 0.3494  3 P 2.25
P: 0.3494 0.9517 0.3494  3 P 2.25
P: 0.3494 0.3494 0.9517  3 P 2.25
Pb: 0.7500 0.7500 0.7500  12 P 3.39, 4 Cu 3.46